# 1
Computed, not measured: Y2ThSnC after structural relaxation at the GGA-PBE level of DFT.

Values from the calculation:
The space group is P4/mmm (123). The calculation puts the energy relative to the elements at -0.53 eV/atom. The calculation puts the energy at -7.25 eV/atom.

abc: 5.039 4.940 4.940
angles: 90.00 90.00 90.00
Element x y z (fractional)
Sn1 0.500 0.500 0.500
Y1 0.000 0.500 0.000
Y2 0.000 0.000 0.500
Th1 0.500 0.000 0.000
C1 0.000 0.000 0.000

=====

# 2
Computed, not measured: RbZnSbS3 after structural relaxation at the GGA-PBE level of DFT.

Values from the calculation:
The raw formation energy is -726 meV per atom. The space group is P2_1/m (11). The calculation puts the energy at -3.85 eV/atom.

abc: 4.001 9.406 9.633
angles: 104.07 90.00 90.00
Element x y z (fractional)
Zn1 0.750 0.907 0.400
S1 0.250 0.155 0.854
Sb1 0.750 0.353 0.858
Rb1 0.750 0.827 0.782
S2 0.250 0.830 0.498
S3 0.250 0.576 0.877
S4 0.750 0.845 0.146
S5 0.750 0.170 0.502
Zn2 0.250 0.093 0.600
S6 0.750 0.424 0.123
Rb2 0.250 0.173 0.218
Sb2 0.250 0.647 0.142

=====

# 3
Computed, not measured: YTa2C after structural relaxation at the GGA-PBE level of DFT.

Values from the calculation:
The space group is R-3m (166). The calculation puts the energy relative to the elements at 0.04 eV/atom. The calculation puts the energy at -9.81 eV/atom.

abc: 3.146 3.146 8.807
angles: 79.71 79.71 60.00
Element x y z (fractional)
Y1 0.000 0.000 0.000
C1 0.500 0.500 0.500
Ta1 0.880 0.880 0.360
Ta2 0.120 0.120 0.640

=====

# 4
Computed, not measured: AlSnPb2 after structural relaxation at the GGA-PBE level of DFT.

Values from the calculation:
The space group is R-3m (166). The calculation puts the energy relative to the elements at 0.25 eV/atom. The calculation puts the energy at -3.54 eV/atom.

abc: 3.353 3.353 11.883
angles: 81.89 81.89 60.00
Element x y z (fractional)
Pb1 0.084 0.084 0.748
Al1 0.000 0.000 0.000
Sn1 0.500 0.500 0.500
Pb2 0.916 0.916 0.252

=====

# 5
Computed, not measured: Rb2S after structural relaxation at the GGA-PBE level of DFT.

Values from the calculation:
The raw formation energy is -1003 meV per atom. The space group is Fm-3m (225). The calculation puts the energy at -3.02 eV/atom.

abc: 5.540 5.540 5.540
angles: 60.00 60.00 60.00
Element x y z (fractional)
Rb1 0.750 0.750 0.750
S1 0.000 0.000 0.000
Rb2 0.250 0.250 0.250

=====

# 6
Computed, not measured: Rb3ScAg2I9 after structural relaxation at the GGA-PBE level of DFT.

Values from the calculation:
The raw formation energy is -941 meV per atom. The space group is P-3m1 (164). The calculation puts the energy at -2.87 eV/atom.

abc: 8.310 8.310 10.375
angles: 90.00 90.00 120.00
Element x y z (fractional)
I1 0.671 0.835 0.339
I2 0.165 0.835 0.339
I3 0.500 0.500 0.000
I4 0.835 0.671 0.661
I5 0.165 0.329 0.339
Rb1 0.000 0.000 0.000
Rb2 0.667 0.333 0.325
Ag1 0.667 0.333 0.842
Ag2 0.333 0.667 0.158
I6 0.835 0.165 0.661
I7 0.000 0.500 0.000
Sc1 0.000 0.000 0.500
I8 0.500 0.000 0.000
I9 0.329 0.165 0.661
Rb3 0.333 0.667 0.675

=====

# 7
Computed, not measured: La4SmY2Ho2 after structural relaxation at the GGA-PBE level of DFT.

Values from the calculation:
The space group is C2/m (12). The calculation puts the energy relative to the elements at 0.03 eV/atom. The calculation puts the energy at -5.14 eV/atom.

abc: 5.179 8.143 8.113
angles: 107.13 90.00 108.54
Element x y z (fractional)
La1 0.445 0.890 0.671
Y1 0.888 0.776 0.329
Ho1 0.332 0.664 0.000
Y2 0.112 0.224 0.671
La2 0.223 0.446 0.332
La3 0.777 0.554 0.668
La4 0.555 0.110 0.329
Ho2 0.668 0.336 0.000
Sm1 0.000 0.000 0.000

=====

# 8
Computed, not measured: Hf3HgPd6 after structural relaxation at the GGA-PBE level of DFT.

Values from the calculation:
The space group is Cmc2_1 (36). The calculation puts the energy relative to the elements at -0.50 eV/atom. The calculation puts the energy at -6.63 eV/atom.

abc: 4.727 9.270 9.270
angles: 116.86 90.00 90.00
Element x y z (fractional)
Hf1 0.979 0.078 0.264
Pd1 0.627 0.301 0.699
Pd2 0.830 0.463 0.052
Hg1 0.618 0.791 0.209
Hf2 0.479 0.264 0.078
Hf3 0.082 0.401 0.599
Pd3 0.547 0.292 0.388
Hg2 0.118 0.209 0.791
Pd4 0.330 0.052 0.463
Pd5 0.047 0.708 0.612
Pd6 0.547 0.612 0.708
Pd7 0.945 0.045 0.955
Pd8 0.127 0.699 0.301
Pd9 0.830 0.948 0.537
Hf4 0.979 0.736 0.922
Pd10 0.330 0.537 0.948
Hf5 0.479 0.922 0.736
Pd11 0.445 0.955 0.045
Hf6 0.582 0.599 0.401
Pd12 0.047 0.388 0.292

=====

# 9
Computed, not measured: Mg2CrOs after structural relaxation at the GGA-PBE level of DFT.

Values from the calculation:
The space group is Imm2 (44). The calculation puts the energy relative to the elements at 0.27 eV/atom. The distance to the lowest polymorph of the same formula is 0.742 eV/f.u. The calculation puts the energy at -5.74 eV/atom.

abc: 5.232 5.232 4.596
angles: 63.90 63.90 35.44
Site moments in Bohr magnetons follow the coordinates.
Element x y z (fractional)
Os1 0.528 0.528 0.472  -0.13
Cr1 0.221 0.221 0.279  1.04
Mg1 0.987 0.987 0.012  -0.01
Mg2 0.764 0.764 0.736  -0.01

=====

# 10
Computed, not measured: TaTcI2N after structural relaxation at the GGA-PBE level of DFT.

Values from the calculation:
The raw formation energy is 870 meV per atom. The space group is P4/mmm (123). The distance to the lowest polymorph of the same formula is 0.000 eV/f.u. The calculation puts the energy at -5.86 eV/atom.

abc: 5.702 5.702 3.905
angles: 90.00 90.00 90.00
Site moments in Bohr magnetons follow the coordinates.
Element x y z (fractional)
I1 0.500 0.000 0.000  0.04
I2 0.000 0.500 0.000  0.04
Tc1 0.500 0.500 0.500  3.58
Ta1 0.000 0.000 0.000  0.33
N1 0.000 0.000 0.500  0.00

=====

# 11
Computed, not measured: CaEuBiCl after structural relaxation at the GGA-PBE level of DFT.

Values from the calculation:
The raw formation energy is -1255 meV per atom. The space group is F-43m (216). The calculation puts the energy at -5.76 eV/atom.

abc: 5.535 5.535 5.535
angles: 60.00 60.00 60.00
Site moments in Bohr magnetons follow the coordinates.
Element x y z (fractional)
Ca1 0.750 0.750 0.750  0.00
Cl1 0.000 0.000 0.000  0.01
Eu1 0.250 0.250 0.250  -6.89
Bi1 0.500 0.500 0.500  0.05

=====

# 12
Computed, not measured: Tb7Sm2Ho4 after structural relaxation at the GGA-PBE level of DFT.

Values from the calculation:
The space group is P-31m (162). The calculation puts the energy relative to the elements at 0.18 eV/atom. The calculation puts the energy at -4.45 eV/atom.

abc: 6.078 6.078 13.254
angles: 90.00 90.00 120.00
Element x y z (fractional)
Ho1 0.667 0.333 0.500
Sm1 0.667 0.333 0.000
Sm2 0.333 0.667 0.000
Ho2 0.000 0.000 0.606
Ho3 0.333 0.667 0.500
Tb1 0.000 0.358 0.218
Ho4 0.000 0.000 0.394
Tb2 0.358 0.000 0.218
Tb3 0.358 0.358 0.782
Tb4 0.642 0.000 0.782
Tb5 0.000 0.000 0.000
Tb6 0.642 0.642 0.218
Tb7 0.000 0.642 0.782

=====

# 13
Computed, not measured: NaPm3Sm4Se8 after structural relaxation at the GGA-PBE level of DFT.

Values from the calculation:
The raw formation energy is -1792 meV per atom. The space group is R-3m (166). The calculation puts the energy at -5.69 eV/atom.

abc: 8.371 8.371 8.372
angles: 120.00 120.00 90.00
Element x y z (fractional)
Se1 0.249 0.750 0.497
Pm1 0.000 0.500 0.500
Se2 0.249 0.248 0.499
Se3 0.751 0.752 0.501
Sm1 0.000 0.000 0.500
Se4 0.249 0.750 0.001
Pm2 0.500 0.500 0.500
Sm2 0.500 0.000 0.000
Se5 0.751 0.250 0.503
Se6 0.751 0.250 0.999
Sm3 0.000 0.000 0.000
Na1 0.000 0.500 0.000
Pm3 0.500 0.500 0.000
Se7 0.247 0.250 0.999
Sm4 0.500 0.000 0.500
Se8 0.753 0.750 0.001

=====

# 14
Computed, not measured: ErZr2V after structural relaxation at the GGA-PBE level of DFT.

Values from the calculation:
The space group is R-3m (166). The calculation puts the energy relative to the elements at 0.54 eV/atom. The distance to the lowest polymorph of the same formula is 1.484 eV/f.u. The calculation puts the energy at -7.15 eV/atom.

abc: 3.112 3.112 10.898
angles: 81.79 81.79 60.00
Element x y z (fractional)
Er1 0.500 0.500 0.500
V1 0.000 0.000 0.000
Zr1 0.080 0.080 0.759
Zr2 0.920 0.920 0.241

=====

# 15
Computed, not measured: PrDyPt2 after structural relaxation at the GGA-PBE level of DFT.

Values from the calculation:
The space group is Amm2 (38). The calculation puts the energy relative to the elements at -1.19 eV/atom. The distance to the lowest polymorph of the same formula is 0.000 eV/f.u. The calculation puts the energy at -6.55 eV/atom.

abc: 3.867 4.538 5.720
angles: 90.00 109.79 90.00
Element x y z (fractional)
Pt1 0.994 0.000 0.527
Dy1 0.447 0.500 0.433
Pr1 0.721 0.000 0.982
Pt2 0.169 0.500 0.877

=====

# 16
Computed, not measured: LaZn7 after structural relaxation at the GGA-PBE level of DFT.

Values from the calculation:
The space group is C2/m (12). The calculation puts the energy relative to the elements at -0.23 eV/atom. The distance to the lowest polymorph of the same formula is 0.000 eV/f.u. The calculation puts the energy at -1.96 eV/atom.

abc: 4.175 6.385 6.385
angles: 67.74 71.25 71.25
Element x y z (fractional)
Zn1 0.360 0.822 0.456
Zn2 0.640 0.544 0.178
La1 0.000 0.000 0.000
Zn3 0.747 0.752 0.752
Zn4 0.640 0.178 0.544
Zn5 0.000 0.500 0.500
Zn6 0.253 0.248 0.248
Zn7 0.360 0.456 0.822

=====

# 17
Computed, not measured: BaIrCl after structural relaxation at the GGA-PBE level of DFT.

Values from the calculation:
The raw formation energy is -945 meV per atom. The space group is Cm (8). The distance to the lowest polymorph of the same formula is 0.723 eV/f.u. The calculation puts the energy at -5.15 eV/atom.

abc: 5.712 4.405 9.381
angles: 76.42 76.78 67.33
Element x y z (fractional)
Cl1 0.777 0.999 0.338
Cl2 0.147 0.178 0.609
Ir1 0.461 0.355 0.944
Ba1 0.571 0.476 0.589
Ba2 0.870 0.586 0.072
Ir2 0.351 0.941 0.881

=====

# 18
Computed, not measured: Tl2CuSiS4 after structural relaxation at the GGA-PBE level of DFT.

Values from the calculation:
The raw formation energy is -410 meV per atom. The space group is Fddd (70). The calculation puts the energy at -4.25 eV/atom.

abc: 5.844 7.077 11.430
angles: 83.94 75.19 65.61
Element x y z (fractional)
S1 0.578 0.195 0.102
Cu1 0.750 0.500 0.500
Si1 0.500 0.000 0.000
Tl1 0.565 0.500 0.870
Tl2 0.935 0.500 0.130
Tl3 0.815 0.000 0.370
S2 0.321 0.805 0.102
Tl4 0.185 0.000 0.630
S3 0.172 0.305 0.398
Cu2 0.000 0.000 0.000
S4 0.874 0.805 0.898
S5 0.228 0.195 0.898
Si2 0.250 0.500 0.500
S6 0.522 0.305 0.602
S7 0.429 0.695 0.398
S8 0.876 0.695 0.602

=====

# 19
Computed, not measured: Ac2ClO2 after structural relaxation at the GGA-PBE level of DFT.

Values from the calculation:
The raw formation energy is -2902 meV per atom. The space group is P-3m1 (164). The distance to the lowest polymorph of the same formula is 0.000 eV/f.u. The calculation puts the energy at -6.90 eV/atom.

abc: 4.273 4.273 7.491
angles: 90.00 90.00 120.00
Site moments in Bohr magnetons follow the coordinates.
Element x y z (fractional)
Cl1 0.000 0.000 0.000  0.00
Ac1 0.667 0.333 0.693  0.11
O1 0.667 0.333 0.364  0.04
O2 0.333 0.667 0.636  0.04
Ac2 0.333 0.667 0.307  0.11

=====

# 20
Computed, not measured: AsPCI after structural relaxation at the GGA-PBE level of DFT.

Values from the calculation:
The raw formation energy is 713 meV per atom. The space group is P1 (1). The distance to the lowest polymorph of the same formula is 1.246 eV/f.u. The calculation puts the energy at -4.50 eV/atom.

abc: 3.151 4.620 8.178
angles: 92.47 90.35 90.00
Element x y z (fractional)
C1 0.921 0.448 0.535
I1 0.915 0.473 0.069
P1 0.923 0.744 0.647
As1 0.919 0.127 0.404